Entry 1:
Density functional theory data (meta-GGA SCAN) for a crystal of BaCd3Cu relaxed with PBEsol.

```
BaCd3Cu
1.0
-3.9309 -1.4111 -2.8498
0.4746 -4.7407 1.6928
-3.1445 1.0486 3.8181
Ba Cu Cd
1 1 3
Direct
0.5000 0.5000 0.5000 Ba
0.0000 0.0000 0.0000 Cu
0.0000 0.5000 0.0000 Cd
0.0000 0.0000 0.5000 Cd
0.5000 0.0000 0.0000 Cd
```

**Volume**: 25.9 A^3/atom
**Calculated formation energy**: -0.1549 eV/atom
**Density of states at the Fermi level**: 2.5 states/eV/cell

Entry 2:
Density functional theory data (meta-GGA SCAN) for a crystal of BaCd2Cu relaxed with PBEsol.

```
BaCd2Cu
1.0
-0.9097 2.6990 2.1342
-1.5889 -2.2875 2.2157
6.5799 -0.8332 3.8583
Ba Cd Cu
1 2 1
Direct
0.5000 0.5000 0.7284 Ba
0.0000 0.0000 0.0592 Cd
0.5000 0.5000 0.2847 Cd
0.0000 0.0000 0.4277 Cu
```

**Volume**: 24.3 A^3/atom
**Calculated formation energy**: 0.0088 eV/atom
**Density of states at the Fermi level**: 2.1 states/eV/cell

Entry 3:
Density functional theory data (meta-GGA SCAN) for a crystal of BaCd2Cu relaxed with PBEsol.

```
BaCd2Cu
1.0
3.5882 0.0000 0.0000
0.0000 5.5418 0.0000
-1.7941 -2.7709 5.0348
Ba Cd Cu
1 2 1
Direct
0.0000 0.5000 0.0000 Ba
0.7980 0.7980 0.5960 Cd
0.2020 0.2020 0.4040 Cd
0.5000 0.0000 0.0000 Cu
```

**Volume**: 25.0 A^3/atom
**Calculated formation energy**: 0.0164 eV/atom
**Density of states at the Fermi level**: 1.7 states/eV/cell

Entry 4:
Density functional theory data (meta-GGA SCAN) for a crystal of BaCd2Cu relaxed with PBEsol.

```
BaCd2Cu
1.0
-1.2472 -1.4384 -4.0382
4.1965 -1.2680 -0.8445
-1.0411 -4.7978 2.0305
Ba Cd Cu
1 2 1
Direct
0.0000 0.0000 0.5000 Ba
0.0000 0.5000 0.0000 Cd
0.5000 0.0000 0.0000 Cd
0.5000 0.5000 0.5000 Cu
```

**Volume**: 26.5 A^3/atom
**Calculated formation energy**: 0.1291 eV/atom
**Density of states at the Fermi level**: 2.1 states/eV/cell